{"formula": "TbTmNi", "functional": "PBE", "state": "relaxed", "lattice": [[3.910, 0.000, 0.000], [-1.955, 3.386, 0.000], [0.000, 0.000, 6.069]], "species": ["Tb", "Tm", "Ni"], "fractional_positions": [[0.000, 0.000, 0.000], [0.333, 0.667, 0.480], [0.667, 0.333, 0.247]], "magmom_total_mub_per_fu": 0.0, "e_tot_ev_per_cell": -15.39, "mass_density_g_cm3": 7.989, "e_form_ev_per_atom": -0.170, "e_above_lowest_polymorph_ev_per_fu": 0.43, "space_group": "P3m1 (156)"}